The following is a GGA+U calculation of a relaxed structure of PmMn2MoO8, from the Alexandria database.

Cell: 4.7246 4.7260 6.6004 Å, 92.07 92.07 88.14°
Each line ends with the local moment (μB).
Atoms (fractional coordinates):
1 O 0.2930 0.2935 0.0115  -0.08
2 O 0.7983 0.2041 0.2118  -0.06
3 Mn 0.4931 0.4931 0.2418  3.78
4 O 0.2046 0.7988 0.2119  -0.06
5 Mo 0.0000 0.0000 0.0000  0.22
6 O 0.3320 0.3326 0.5145  -0.25
7 Mn 0.5069 0.5069 0.7582  3.78
8 O 0.7954 0.2012 0.7881  -0.06
9 Pm 0.0000 0.0000 0.5000  0.00
10 O 0.6680 0.6674 0.4855  -0.25
11 O 0.2017 0.7959 0.7882  -0.06
12 O 0.7070 0.7065 0.9885  -0.08

crystal system: monoclinic
total DFT energy (no corrections): -7.335 eV per atom